# 1
TcAg2Pt (GGA-PBE, relaxed); calculated formation energy = 44.9 kJ/mol of formula units; calculated volume = 65.47 Å³/cell; N(E_F) = 1.037 states/eV per atom; space group = P4mm, No. 99; mass density = 12.9 g/cm³
1.0
-1.2283 -2.5067 0.2430
0.4096 0.0679 2.7711
-7.3949 3.7206 1.0018
Tc Ag Pt
1 2 1
direct
0.5000 0.5000 0.7341
0.0000 0.0000 0.9918
0.5000 0.5000 0.2559
0.0000 0.0000 0.5181

---

# 2
Tc2AgPt (GGA-PBE, relaxed); calculated formation energy = 100.6 kJ/mol of formula units; calculated volume = 61.67 Å³/cell; N(E_F) = 0.882 states/eV per atom; space group = C2/m, No. 12; mass density = 13.4 g/cm³
1.0
-2.4866 3.8634 -1.8264
-2.0471 2.1611 -3.9476
-4.4626 -1.6733 0.4182
Ag Pt Tc
1 1 2
direct
0.2500 0.2500 0.2500
0.7500 0.7500 0.7500
0.0070 0.0070 0.9928
0.4930 0.4930 0.5072

---

# 3
Tc2AgPt (GGA-PBE, relaxed); calculated formation energy = 10.8 kJ/mol of formula units; calculated volume = 62.26 Å³/cell; N(E_F) = 0.780 states/eV per atom; space group = R3m, No. 160; mass density = 13.3 g/cm³
1.0
9.4969 -0.0006 -0.0004
9.0928 2.7411 -0.0004
9.0928 1.3404 2.3910
Tc Ag Pt
2 1 1
direct
0.2565 0.2565 0.2565
0.9964 0.9964 0.9964
0.5008 0.5008 0.5008
0.7464 0.7464 0.7464

---

# 4
TcAgPt2 (GGA-PBE, relaxed); calculated formation energy = 217.5 kJ/mol of formula units; calculated volume = 142.56 Å³/cell; N(E_F) = 1.085 states/eV per atom; space group = I-42d, No. 122; mass density = 13.9 g/cm³
1.0
-4.7900 5.2119 -1.4056
-5.3344 -4.8580 0.1652
-5.3758 0.6126 2.0637
Pt Ag Tc
4 2 2
direct
0.8750 0.8506 0.7500
0.6006 0.1250 0.2500
0.3750 0.3994 0.7500
0.1494 0.6250 0.2500
0.7500 0.2500 0.5000
0.0000 0.0000 0.0000
0.5000 0.5000 0.0000
0.2500 0.7500 0.5000

---

# 5
TcAg2Pt (GGA-PBE, relaxed); calculated formation energy = 339.9 kJ/mol of formula units; calculated volume = 151.17 Å³/cell; N(E_F) = 0.787 states/eV per atom; space group = I-42d, No. 122; mass density = 11.2 g/cm³
1.0
7.4951 0.0000 0.0000
0.0000 7.4951 0.0000
3.7476 3.7476 2.6910
Pt Ag Tc
2 4 2
direct
0.7500 0.2500 0.5000
0.0000 0.0000 0.0000
0.1184 0.6250 0.2500
0.6316 0.1250 0.2500
0.3750 0.3684 0.7500
0.8750 0.8816 0.7500
0.2500 0.7500 0.5000
0.5000 0.5000 0.0000

---

# 6
TcAgPt2 (GGA-PBE, relaxed); calculated formation energy = 128.6 kJ/mol of formula units; calculated volume = 63.53 Å³/cell; N(E_F) = 0.642 states/eV per atom; space group = F-43m, No. 216; mass density = 15.6 g/cm³
1.0
4.4788 0.0000 0.0000
2.2394 3.8787 0.0000
2.2394 1.2929 3.6569
Tc Pt Ag
1 2 1
direct
0.7500 0.7500 0.7500
0.2500 0.2500 0.2500
0.0000 0.0000 0.0000
0.5000 0.5000 0.5000